GGA-PBE ZrSiIN2, optimized geometry; N(E_F) = 4.42 states/eV/cell; uncorrected formation energy = 0.7200 eV/atom; ΔE to the lowest computed polymorph = 0.000 eV per atom
1.0
4.220 0.000 0.000
0.000 4.220 0.000
0.000 0.000 5.941
Zr Si I N
1 1 1 2
direct
0.000 0.000 0.000
0.500 0.500 0.500
0.000 0.000 0.500
0.000 0.500 0.000
0.500 0.000 0.000